Np3MnTl4Te8 after structural relaxation. Source: the Alexandria database, functional GGA-PBE.

Values from the calculation:
Its raw formation energy is -0.4700 eV/atom. Its crystal system is monoclinic.

a b c (Å): 8.828 9.619 8.857
angles (deg): 117.56 119.89 90.00
Sites, in units of the cell vectors:
Np (0.500, 0.500, 0.000)
Np (0.500, 0.500, 0.500)
Np (0.000, 0.500, 0.500)
Mn (0.000, 0.500, 0.000)
Tl (0.500, 0.000, 0.000)
Tl (0.500, 0.000, 0.500)
Tl (0.000, 0.000, 0.000)
Tl (0.000, 0.000, 0.500)
Te (0.228, 0.706, 0.978)
Te (0.228, 0.706, 0.456)
Te (0.261, 0.284, 0.523)
Te (0.749, 0.706, 0.978)
Te (0.251, 0.294, 0.022)
Te (0.739, 0.716, 0.477)
Te (0.772, 0.294, 0.544)
Te (0.772, 0.294, 0.022)


NpMn2Tl3Te6 after structural relaxation. Source: the Alexandria database, functional GGA-PBE.

Values from the calculation:
Its raw formation energy is -0.3065 eV/atom. Its crystal system is monoclinic.

a b c (Å): 7.300 7.300 8.486
angles (deg): 98.27 98.27 119.33
Sites, in units of the cell vectors:
Np (0.000, 0.000, 0.000)
Mn (0.331, 0.669, 0.000)
Mn (0.669, 0.331, 0.000)
Tl (0.156, 0.844, 0.500)
Tl (0.844, 0.156, 0.500)
Tl (0.500, 0.500, 0.500)
Te (0.934, 0.579, 0.796)
Te (0.708, 0.708, 0.195)
Te (0.066, 0.421, 0.204)
Te (0.579, 0.934, 0.796)
Te (0.292, 0.292, 0.805)
Te (0.421, 0.066, 0.204)


ThNpMn after structural relaxation. Source: the Alexandria database, functional GGA-PBE.

Values from the calculation:
The value obtained for the energy relative to the elements is 0.5484 eV/atom. Its crystal system is orthorhombic.

a b c (Å): 6.280 3.189 7.788
angles (deg): 101.81 113.77 90.00
Sites, in units of the cell vectors:
Th (0.629, 0.129, 0.257)
Th (0.371, 0.871, 0.743)
Mn (0.801, 0.500, 0.000)
Mn (0.199, 0.500, 0.000)
Np (0.146, 0.646, 0.293)
Np (0.854, 0.354, 0.707)


Number 1: E -90.11 eV for the cell shown. Number 2: E -60.91 eV for the cell shown. Number 3: E -55.77 eV for the cell shown.